Entry 1:
AgSn4Pd | PBE | optimized geometry

Structure (POSCAR):
```
AgSn4Pd
1.0
5.6360 0.0000 0.0000
0.0000 5.6360 0.0000
0.0000 0.0000 8.9800
Ag Sn Pd
2 8 2
direct
0.0000 0.0000 0.0000
0.5000 0.5000 0.5000
0.0000 0.0000 0.3132
0.0000 0.0000 0.6868
0.0000 0.5000 0.0573
0.0000 0.5000 0.4427
0.5000 0.0000 0.5573
0.5000 0.0000 0.9427
0.5000 0.5000 0.1868
0.5000 0.5000 0.8132
0.0000 0.5000 0.7500
0.5000 0.0000 0.2500
```

Values from the calculation:
Crystal system   tetragonal
ΔE to the lowest computed polymorph   0.102 eV/atom
Formation energy   -0.4 eV/f.u.


Entry 2:
SrAgSn2Pd | PBE | optimized geometry

Structure (POSCAR):
```
SrAgSn2Pd
1.0
4.7547 0.0000 0.0000
0.0000 4.7547 0.0000
0.0000 0.0000 11.1614
Sr Ag Sn Pd
2 2 4 2
direct
0.0000 0.0000 0.0000
0.5000 0.5000 0.5000
0.0000 0.5000 0.7500
0.5000 0.0000 0.2500
0.0000 0.0000 0.3708
0.0000 0.0000 0.6292
0.5000 0.5000 0.1292
0.5000 0.5000 0.8708
0.0000 0.5000 0.2500
0.5000 0.0000 0.7500
```

Values from the calculation:
Crystal system   tetragonal
Formation energy   -2.5 eV/f.u.


Entry 3:
SrAgSnPd | PBE | optimized geometry

Structure (POSCAR):
```
SrAgSnPd
1.0
7.1536 0.0000 0.0000
0.0000 7.1536 0.0000
0.0000 0.0000 7.1536
Sr Ag Sn Pd
4 4 4 4
direct
0.0000 0.0000 0.0000
0.0000 0.5000 0.5000
0.5000 0.0000 0.5000
0.5000 0.5000 0.0000
0.2500 0.2500 0.7500
0.2500 0.7500 0.2500
0.7500 0.2500 0.2500
0.7500 0.7500 0.7500
0.0000 0.0000 0.5000
0.0000 0.5000 0.0000
0.5000 0.0000 0.0000
0.5000 0.5000 0.5000
0.2500 0.2500 0.2500
0.2500 0.7500 0.7500
0.7500 0.2500 0.7500
0.7500 0.7500 0.2500
```

Values from the calculation:
Crystal system   cubic
Formation energy   -1.5 eV/f.u.


Entry 4:
SrAgSnPd3 | PBE | optimized geometry

Structure (POSCAR):
```
SrAgSnPd3
1.0
3.0765 -6.1417 0.0000
3.0765 6.1417 0.0000
0.0000 0.0000 7.0272
Sr Ag Sn Pd
2 2 2 6
direct
0.1739 0.8261 0.7500
0.8261 0.1739 0.2500
0.4095 0.5905 0.7500
0.5905 0.4095 0.2500
0.1305 0.8695 0.2500
0.8695 0.1305 0.7500
0.2288 0.2288 0.0000
0.2288 0.2288 0.5000
0.3505 0.6495 0.2500
0.6495 0.3505 0.7500
0.7712 0.7712 0.0000
0.7712 0.7712 0.5000
```

Values from the calculation:
Crystal system   orthorhombic
Formation energy   -2.0 eV/f.u.


Entry 5:
TbAgSnPd | PBE | optimized geometry

Structure (POSCAR):
```
TbAgSnPd
1.0
6.9083 0.0000 0.0000
0.0000 6.9083 0.0000
0.0000 0.0000 6.9083
Tb Ag Sn Pd
4 4 4 4
direct
0.0000 0.0000 0.0000
0.0000 0.5000 0.5000
0.5000 0.0000 0.5000
0.5000 0.5000 0.0000
0.2500 0.2500 0.2500
0.2500 0.7500 0.7500
0.7500 0.2500 0.7500
0.7500 0.7500 0.2500
0.0000 0.0000 0.5000
0.0000 0.5000 0.0000
0.5000 0.0000 0.0000
0.5000 0.5000 0.5000
0.2500 0.2500 0.7500
0.2500 0.7500 0.2500
0.7500 0.2500 0.2500
0.7500 0.7500 0.7500
```

Values from the calculation:
Crystal system   cubic
Formation energy   -2.5 eV/f.u.


Entry 6:
ThAgSnPd | PBE | optimized geometry

Structure (POSCAR):
```
ThAgSnPd
1.0
7.0918 0.0000 0.0000
0.0000 7.0918 0.0000
0.0000 0.0000 7.0918
Th Ag Sn Pd
4 4 4 4
direct
0.0000 0.0000 0.0000
0.0000 0.5000 0.5000
0.5000 0.0000 0.5000
0.5000 0.5000 0.0000
0.2500 0.2500 0.2500
0.2500 0.7500 0.7500
0.7500 0.2500 0.7500
0.7500 0.7500 0.2500
0.0000 0.0000 0.5000
0.0000 0.5000 0.0000
0.5000 0.0000 0.0000
0.5000 0.5000 0.5000
0.2500 0.2500 0.7500
0.2500 0.7500 0.2500
0.7500 0.2500 0.2500
0.7500 0.7500 0.7500
```

Values from the calculation:
Crystal system   cubic
Formation energy   -2.1 eV/f.u.


Entry 7:
TiAgSnPd | PBE | optimized geometry

Structure (POSCAR):
```
TiAgSnPd
1.0
6.5685 0.0000 0.0000
0.0000 6.5685 0.0000
0.0000 0.0000 6.5685
Ti Ag Sn Pd
4 4 4 4
direct
0.0000 0.0000 0.0000
0.0000 0.5000 0.5000
0.5000 0.0000 0.5000
0.5000 0.5000 0.0000
0.2500 0.2500 0.7500
0.2500 0.7500 0.2500
0.7500 0.2500 0.2500
0.7500 0.7500 0.7500
0.0000 0.0000 0.5000
0.0000 0.5000 0.0000
0.5000 0.0000 0.0000
0.5000 0.5000 0.5000
0.2500 0.2500 0.2500
0.2500 0.7500 0.7500
0.7500 0.2500 0.7500
0.7500 0.7500 0.2500
```

Values from the calculation:
Crystal system   cubic
Formation energy   -1.1 eV/f.u.


Entry 8:
TmAgSnPd | PBE | optimized geometry

Structure (POSCAR):
```
TmAgSnPd
1.0
6.8437 0.0000 0.0000
0.0000 6.8437 0.0000
0.0000 0.0000 6.8437
Tm Ag Sn Pd
4 4 4 4
direct
0.0000 0.0000 0.0000
0.0000 0.5000 0.5000
0.5000 0.0000 0.5000
0.5000 0.5000 0.0000
0.2500 0.2500 0.7500
0.2500 0.7500 0.2500
0.7500 0.2500 0.2500
0.7500 0.7500 0.7500
0.0000 0.0000 0.5000
0.0000 0.5000 0.0000
0.5000 0.0000 0.0000
0.5000 0.5000 0.5000
0.2500 0.2500 0.2500
0.2500 0.7500 0.7500
0.7500 0.2500 0.7500
0.7500 0.7500 0.2500
```

Values from the calculation:
Crystal system   cubic
Formation energy   -2.5 eV/f.u.